No. 1
{
  "formula": "Nd2ErTlO",
  "functional": "PBE",
  "state": "optimized geometry",
  "cell": [[-2.381, -1.768, -3.633], [0.577, -4.635, 1.878], [-4.298, 0.507, 2.570]],
  "species": ["Er", "O", "Nd", "Tl", "Nd"],
  "frac_coords": [[0.500, 0.000, 0.000], [0.000, 0.000, 0.000], [0.000, 0.500, 0.000], [0.500, 0.500, 0.500], [0.000, 0.000, 0.500]],
  "energy_ev_per_cell": -28.1,
  "formation_energy_uncorrected_ev_per_atom": -1.337,
  "mass_density_g_cm3": 9.449,
  "magmom_total_mub_per_fu": 0.00,
  "space_group": "No. 123"
}



No. 2
{
  "formula": "CuGe2Pb",
  "functional": "PBE",
  "state": "optimized geometry",
  "cell": [[-0.471, 4.730, 0.988], [-3.475, -1.021, 3.233], [3.565, 1.206, 7.858]],
  "species": ["Pb", "Cu", "Ge", "Ge", "Pb", "Ge", "Ge", "Cu"],
  "frac_coords": [[0.000, 0.000, 0.000], [0.250, 0.750, 0.500], [0.875, 0.759, 0.750], [0.509, 0.125, 0.250], [0.750, 0.250, 0.500], [0.375, 0.491, 0.750], [0.241, 0.625, 0.250], [0.500, 0.500, 0.000]],
  "energy_ev_per_cell": -32.1,
  "mass_density_g_cm3": 7.320,
  "magmom_total_mub_per_fu": 0.00,
  "space_group": "No. 122",
  "formation_energy_ev_per_atom": 0.252
}



No. 3
{
  "formula": "As2Pt2C",
  "functional": "PBE",
  "state": "optimized geometry",
  "cell": [[3.865, 0.000, 0.000], [0.000, 3.865, 0.000], [1.933, 1.933, 5.985]],
  "species": ["As", "Pt", "As", "Pt", "C"],
  "frac_coords": [[0.609, 0.609, 0.781], [0.250, 0.750, 0.500], [0.391, 0.391, 0.219], [0.750, 0.250, 0.500], [0.000, 0.000, 0.000]],
  "energy_ev_per_cell": -25.1,
  "mass_density_g_cm3": 10.252,
  "magmom_total_mub_per_fu": 1.19,
  "e_above_lowest_polymorph_ev_per_fu": 1.16,
  "space_group": "No. 139",
  "formation_energy_ev_per_atom": 1.106
}



No. 4
{
  "formula": "TbDyHg",
  "functional": "PBE",
  "state": "optimized geometry",
  "cell": [[-4.931, -1.549, -0.128], [3.235, -1.366, -3.795], [4.059, -4.694, 5.145]],
  "species": ["Hg", "Dy", "Tb", "Tb", "Dy", "Hg"],
  "frac_coords": [[0.441, 0.853, 0.294], [0.047, 0.157, 0.204], [0.559, 0.413, 0.971], [0.888, 0.577, 0.465], [0.718, 0.993, 0.711], [0.165, 0.716, 0.881]],
  "energy_ev_per_cell": -20.3,
  "mass_density_g_cm3": 9.999,
  "magmom_total_mub_per_fu": 0.00,
  "e_above_lowest_polymorph_ev_per_fu": 0.48,
  "space_group": "No. 8",
  "formation_energy_ev_per_atom": -0.199
}



No. 5
{
  "formula": "BaAgTeCl",
  "functional": "PBE",
  "state": "optimized geometry",
  "cell": [[-1.029, 3.727, 2.928], [0.591, -2.872, 3.863], [9.889, 2.474, 0.327]],
  "species": ["Ag", "Ba", "Ba", "Ag", "Cl", "Cl", "Te", "Te"],
  "frac_coords": [[0.500, 0.500, 0.000], [0.000, 0.500, 0.309], [0.500, 0.000, 0.691], [0.000, 0.000, 0.000], [0.000, 0.000, 0.500], [0.500, 0.500, 0.500], [0.500, 0.000, 0.164], [0.000, 0.500, 0.836]],
  "energy_ev_per_cell": -30.9,
  "formation_energy_uncorrected_ev_per_atom": -1.425,
  "mass_density_g_cm3": 5.652,
  "magmom_total_mub_per_fu": 0.00,
  "space_group": "No. 129"
}